Material: CaGa2SbO8
Method: DFT, GGA-PBE
State: relaxed

Cell and atoms, written as CIF:
```
data_CaGa2SbO8
_chemical_formula_sum 'Ca2 Ga4 Sb2 O16'
_symmetry_space_group_name_H-M 'I -4 m 2'
_symmetry_Int_Tables_number 119
_symmetry_space_group_name_Hall 'I -4 -2'
_cell_length_a 6.9687
_cell_length_b 6.9687
_cell_length_c 6.4522
_cell_angle_alpha 90.00
_cell_angle_beta 90.00
_cell_angle_gamma 90.00
loop_
_atom_site_label
_atom_site_fract_x
_atom_site_fract_y
_atom_site_fract_z
Ca1 0.0000 0.0000 0.0000
Ga1 0.0000 0.0000 0.5000
Ga2 0.0000 0.5000 0.2500
Sb1 0.0000 0.5000 0.7500
O1 0.0000 0.2089 0.6788
O2 0.0000 0.3268 0.0324
```

Results
- E_form (uncorrected): -14.957 eV/f.u.
- M_tot: 3.0 μB/f.u.
- Density of states at the Fermi level: 13.427 states/eV/cell